(1)
First-principles (PBE-GGA) data for a relaxed Tm2Al8Ni crystal, as listed in the Alexandria database.

POSCAR file:
```
Tm2Al8Ni
1.0
-0.686 0.690 4.094
2.698 -3.080 0.971
8.260 7.286 0.156
Tm Al Ni
2 8 1
Direct
0.000 0.000 0.309
0.000 0.000 0.691
0.000 0.500 0.500
0.500 0.000 0.500
0.500 0.500 0.304
0.500 0.500 0.696
0.000 0.500 0.121
0.500 0.000 0.121
0.000 0.500 0.879
0.500 0.000 0.879
0.000 0.000 0.000
```

* crystal system: tetragonal
* space group: P4/mmm, No. 123
* uncorrected energy: -49.54 eV per cell
* volume: 17.74 Å³ per atom

(2)
First-principles (PBE-GGA) data for a relaxed Tm8Al2Ni crystal, as listed in the Alexandria database.

POSCAR file:
```
Tm8Al2Ni
1.0
4.943 0.000 0.000
0.000 6.477 0.301
-2.471 -2.388 8.679
Tm Al Ni
8 2 1
Direct
0.408 0.546 0.816
0.647 0.975 0.294
0.789 0.695 0.579
0.980 0.223 0.959
0.211 0.305 0.421
0.353 0.025 0.706
0.592 0.454 0.184
0.021 0.777 0.041
0.811 0.245 0.622
0.189 0.755 0.378
0.500 0.000 0.000
```

* crystal system: monoclinic
* space group: C2/m, No. 12
* uncorrected energy: -51.25 eV per cell
* volume: 25.58 Å³ per atom

(3)
First-principles (PBE-GGA) data for a relaxed TmAl2Ni crystal, as listed in the Alexandria database.

POSCAR file:
```
TmAl2Ni
1.0
5.381 0.000 0.000
0.000 6.842 0.000
0.000 0.000 15.064
Tm Al Ni
8 16 8
Direct
0.469 0.250 0.140
0.969 0.750 0.360
0.531 0.750 0.860
0.031 0.250 0.640
0.759 0.250 0.394
0.259 0.750 0.106
0.241 0.750 0.606
0.741 0.250 0.894
0.966 0.055 0.212
0.466 0.945 0.288
0.034 0.555 0.788
0.534 0.445 0.712
0.034 0.945 0.788
0.534 0.055 0.712
0.966 0.445 0.212
0.466 0.555 0.288
0.769 0.555 0.039
0.269 0.445 0.461
0.231 0.055 0.961
0.731 0.945 0.539
0.231 0.445 0.961
0.731 0.555 0.539
0.769 0.945 0.039
0.269 0.055 0.461
0.233 0.250 0.320
0.733 0.750 0.180
0.767 0.750 0.680
0.267 0.250 0.820
0.988 0.250 0.072
0.488 0.750 0.428
0.012 0.750 0.928
0.512 0.250 0.572
```

* crystal system: orthorhombic
* space group: Pnma, No. 62
* uncorrected energy: -162.03 eV per cell
* volume: 17.33 Å³ per atom

(4)
First-principles (PBE-GGA) data for a relaxed Tm2Al5Ni3 crystal, as listed in the Alexandria database.

POSCAR file:
```
Tm2Al5Ni3
1.0
-1.459 3.600 -1.356
-2.147 1.382 5.979
11.420 3.516 3.288
Tm Al Ni
4 10 6
Direct
0.479 0.771 0.958
0.175 0.717 0.349
0.825 0.217 0.651
0.521 0.271 0.042
0.402 0.406 0.803
0.288 0.509 0.575
0.712 0.009 0.425
0.128 0.243 0.257
0.292 0.909 0.584
0.944 0.098 0.888
0.708 0.409 0.416
0.872 0.743 0.743
0.056 0.598 0.112
0.598 0.906 0.197
0.772 0.706 0.544
0.610 0.520 0.219
0.048 0.987 0.096
0.228 0.206 0.456
0.952 0.487 0.904
0.390 0.020 0.781
```

* crystal system: orthorhombic
* space group: Cmc2_1, No. 36
* uncorrected energy: -101.85 eV per cell
* volume: 16.35 Å³ per atom

(5)
First-principles (PBE-GGA) data for a relaxed TmAl2Ni crystal, as listed in the Alexandria database.

POSCAR file:
```
TmAl2Ni
1.0
4.097 0.000 0.000
2.049 3.548 0.000
2.049 1.183 5.041
Ni Tm Al
1 1 2
Direct
0.000 0.000 0.000
0.500 0.500 0.500
0.708 0.708 0.875
0.292 0.292 0.125
```

* crystal system: trigonal
* space group: R-3m, No. 166
* uncorrected energy: -19.65 eV per cell
* volume: 18.32 Å³ per atom

(6)
First-principles (PBE-GGA) data for a relaxed TmAl4Ni2 crystal, as listed in the Alexandria database.

POSCAR file:
```
TmAl4Ni2
1.0
4.110 0.000 0.000
0.000 6.388 0.000
0.000 0.000 16.735
Ni Tm Al
8 4 16
Direct
0.250 0.758 0.541
0.750 0.242 0.459
0.750 0.258 0.959
0.250 0.742 0.041
0.250 0.969 0.783
0.750 0.031 0.217
0.750 0.469 0.717
0.250 0.531 0.283
0.750 0.980 0.639
0.250 0.020 0.361
0.250 0.480 0.861
0.750 0.520 0.139
0.250 0.269 0.696
0.750 0.731 0.304
0.750 0.769 0.804
0.250 0.231 0.196
0.250 0.673 0.688
0.750 0.327 0.312
0.750 0.173 0.812
0.250 0.827 0.188
0.250 0.161 0.532
0.750 0.839 0.468
0.750 0.661 0.968
0.250 0.339 0.032
0.250 0.503 0.428
0.750 0.497 0.572
0.750 0.003 0.072
0.250 0.997 0.928
```

* crystal system: orthorhombic
* space group: Pnma, No. 62
* uncorrected energy: -140.24 eV per cell
* relative energy among the computed polymorphs: 0 meV/atom
* volume: 15.69 Å³ per atom

(7)
First-principles (PBE-GGA) data for a relaxed Tm2AlNi9 crystal, as listed in the Alexandria database.

POSCAR file:
```
Tm2AlNi9
1.0
4.843 0.000 0.000
2.421 4.194 0.000
2.421 1.398 8.038
Tm Al Ni
2 1 9
Direct
0.864 0.864 0.408
0.136 0.136 0.592
0.000 0.000 0.000
0.667 0.667 0.000
0.333 0.333 0.000
0.500 0.500 0.500
0.417 0.417 0.246
0.920 0.417 0.246
0.417 0.920 0.246
0.583 0.583 0.754
0.583 0.080 0.754
0.080 0.583 0.754
```

* crystal system: trigonal
* space group: R-3m, No. 166
* uncorrected energy: -68.22 eV per cell
* volume: 13.60 Å³ per atom

(8)
First-principles (PBE-GGA) data for a relaxed Tm4AlNi crystal, as listed in the Alexandria database.

POSCAR file:
```
Tm4AlNi
1.0
-3.843 -7.355 -4.230
5.409 -6.836 -3.282
0.038 -8.323 4.182
Tm Al Ni
16 4 4
Direct
0.399 0.399 0.399
0.803 0.399 0.399
0.399 0.803 0.399
0.399 0.399 0.803
0.560 0.560 0.940
0.940 0.940 0.560
0.560 0.940 0.560
0.940 0.560 0.940
0.940 0.560 0.560
0.560 0.940 0.940
0.186 0.186 0.814
0.814 0.814 0.186
0.186 0.814 0.186
0.814 0.186 0.814
0.814 0.186 0.186
0.186 0.814 0.814
0.172 0.172 0.172
0.484 0.172 0.172
0.172 0.484 0.172
0.172 0.172 0.484
0.607 0.607 0.607
0.179 0.607 0.607
0.607 0.179 0.607
0.607 0.607 0.179
```

* crystal system: cubic
* space group: F-43m, No. 216
* uncorrected energy: -118.32 eV per cell
* relative energy among the computed polymorphs: 0 meV/atom
* volume: 23.81 Å³ per atom

(9)
First-principles (PBE-GGA) data for a relaxed Tm7Al2Ni2 crystal, as listed in the Alexandria database.

POSCAR file:
```
Tm7Al2Ni2
1.0
-2.731 -1.773 5.757
5.382 -3.827 1.374
3.636 5.446 0.928
Tm Al Ni
7 2 2
Direct
0.000 0.252 0.500
0.500 0.748 0.000
0.000 0.748 0.500
0.500 0.252 0.000
0.000 0.000 0.000
0.500 0.754 0.500
0.500 0.246 0.500
0.832 0.500 0.832
0.168 0.500 0.168
0.706 0.000 0.294
0.294 0.000 0.706
```

* crystal system: orthorhombic
* space group: Cmmm, No. 65
* uncorrected energy: -52.49 eV per cell
* volume: 25.36 Å³ per atom

(10)
First-principles (PBE-GGA) data for a relaxed Tm3AlNi crystal, as listed in the Alexandria database.

POSCAR file:
```
Tm3AlNi
1.0
5.259 -0.273 2.205
1.682 4.990 2.205
-0.030 -0.020 8.668
Tm Al Ni
6 2 2
Direct
0.312 0.312 0.882
0.688 0.688 0.118
0.036 0.036 0.756
0.964 0.964 0.244
0.701 0.701 0.679
0.299 0.299 0.321
0.701 0.299 0.500
0.299 0.701 0.500
0.295 0.705 0.000
0.705 0.295 0.000
```

* crystal system: monoclinic
* space group: C2/m, No. 12
* uncorrected energy: -49.11 eV per cell
* volume: 23.20 Å³ per atom

(11)
First-principles (PBE-GGA) data for a relaxed Tm3Al4Ni crystal, as listed in the Alexandria database.

POSCAR file:
```
Tm3Al4Ni
1.0
-0.581 3.934 -4.402
-5.039 -1.872 -1.008
-3.915 6.929 6.709
Ni Tm Al
2 6 8
Direct
0.673 0.500 0.000
0.327 0.000 0.500
0.557 0.000 0.000
0.443 0.500 0.500
0.823 0.500 0.763
0.823 0.500 0.237
0.177 0.000 0.737
0.177 0.000 0.263
0.337 0.500 0.856
0.337 0.500 0.144
0.031 0.244 0.000
0.031 0.756 0.000
0.969 0.744 0.500
0.969 0.256 0.500
0.663 0.000 0.356
0.663 0.000 0.644
```

* crystal system: orthorhombic
* space group: Pmmn, No. 59
* uncorrected energy: -74.98 eV per cell
* volume: 21.11 Å³ per atom

(12)
First-principles (PBE-GGA) data for a relaxed TmAl11Ni crystal, as listed in the Alexandria database.

POSCAR file:
```
TmAl11Ni
1.0
-3.178 -4.016 -0.075
3.887 -5.905 -1.137
-0.847 -2.711 6.153
Tm Al Ni
1 11 1
Direct
0.000 0.000 0.000
0.288 0.227 0.213
0.712 0.773 0.787
0.499 0.773 0.213
0.501 0.227 0.787
0.354 0.642 0.653
0.646 0.358 0.347
0.993 0.358 0.653
0.007 0.642 0.347
0.000 0.500 0.000
0.500 0.000 0.500
0.000 0.000 0.500
0.500 0.500 0.000
```

* crystal system: monoclinic
* space group: C2/m, No. 12
* uncorrected energy: -53.69 eV per cell
* volume: 16.82 Å³ per atom

(13)
First-principles (PBE-GGA) data for a relaxed TmAl4Ni4 crystal, as listed in the Alexandria database.

POSCAR file:
```
TmAl4Ni4
1.0
-3.240 2.663 1.391
-2.876 0.472 -7.606
-4.733 -6.482 1.387
Tm Al Ni
2 8 8
Direct
0.000 0.000 0.000
0.500 0.500 0.500
0.500 0.380 0.896
0.000 0.604 0.880
0.500 0.620 0.104
0.000 0.120 0.604
0.500 0.896 0.620
0.000 0.880 0.396
0.000 0.396 0.120
0.500 0.104 0.380
0.500 0.807 0.319
0.500 0.193 0.681
0.000 0.819 0.693
0.000 0.307 0.819
0.000 0.693 0.181
0.500 0.319 0.193
0.500 0.681 0.807
0.000 0.181 0.307
```

* crystal system: tetragonal
* space group: I4/m, No. 87
* uncorrected energy: -91.30 eV per cell
* volume: 16.29 Å³ per atom

(14)
First-principles (PBE-GGA) data for a relaxed TmAl2Ni crystal, as listed in the Alexandria database.

POSCAR file:
```
TmAl2Ni
1.0
4.056 0.000 0.000
-2.024 4.986 0.000
0.000 0.000 6.867
Ni Tm Al
2 2 4
Direct
0.785 0.570 0.750
0.215 0.430 0.250
0.063 0.125 0.750
0.937 0.875 0.250
0.346 0.692 0.946
0.654 0.308 0.054
0.654 0.308 0.446
0.346 0.692 0.554
```

* crystal system: orthorhombic
* space group: Cmcm, No. 63
* uncorrected energy: -40.71 eV per cell
* volume: 17.36 Å³ per atom

(15)
First-principles (PBE-GGA) data for a relaxed Tm5AlNi2 crystal, as listed in the Alexandria database.

POSCAR file:
```
Tm5AlNi2
1.0
2.720 -6.979 -0.034
4.702 1.805 5.544
-8.225 0.807 1.653
Tm Al Ni
10 2 4
Direct
0.525 0.700 0.724
0.800 0.975 0.276
0.000 0.000 0.000
0.500 0.500 0.000
0.200 0.025 0.724
0.700 0.200 0.724
0.025 0.525 0.724
0.300 0.800 0.276
0.975 0.475 0.276
0.475 0.300 0.276
0.750 0.750 0.500
0.250 0.250 0.500
0.126 0.374 0.000
0.626 0.126 0.000
0.374 0.874 0.000
0.874 0.626 0.000
```

* crystal system: tetragonal
* space group: I4/mcm, No. 140
* uncorrected energy: -81.06 eV per cell
* volume: 22.99 Å³ per atom

(16)
First-principles (PBE-GGA) data for a relaxed TmAl4Ni crystal, as listed in the Alexandria database.

POSCAR file:
```
TmAl4Ni
1.0
-1.369 -3.512 -1.452
4.564 0.217 -4.828
5.587 -1.990 5.192
Ni Tm Al
2 2 8
Direct
0.272 0.250 0.545
0.728 0.750 0.455
0.380 0.750 0.760
0.620 0.250 0.240
0.812 0.053 0.624
0.188 0.947 0.376
0.188 0.553 0.376
0.812 0.447 0.624
0.000 0.500 0.000
0.000 0.000 0.000
0.425 0.250 0.850
0.575 0.750 0.150
```

* crystal system: monoclinic
* space group: P2_1/m, No. 11
* uncorrected energy: -56.91 eV per cell
* volume: 17.04 Å³ per atom

(17)
First-principles (PBE-GGA) data for a relaxed Tm3Al5Ni crystal, as listed in the Alexandria database.

POSCAR file:
```
Tm3Al5Ni
1.0
-0.785 -3.705 1.986
6.603 -1.799 -0.745
-2.019 3.437 5.613
Tm Al Ni
3 5 1
Direct
0.000 0.000 0.405
0.000 0.405 0.000
0.000 0.595 0.595
0.500 0.667 0.333
0.500 0.333 0.667
0.500 0.231 0.231
0.500 0.769 0.000
0.500 0.000 0.769
0.000 0.000 0.000
```

* crystal system: hexagonal
* space group: P-62m, No. 189
* uncorrected energy: -42.95 eV per cell
* volume: 19.50 Å³ per atom

(18)
First-principles (PBE-GGA) data for a relaxed TmAl2Ni9 crystal, as listed in the Alexandria database.

POSCAR file:
```
TmAl2Ni9
1.0
4.788 0.000 0.000
2.394 4.147 0.000
2.394 1.382 7.691
Tm Al Ni
1 2 9
Direct
0.000 0.000 0.000
0.857 0.857 0.430
0.143 0.143 0.570
0.666 0.666 0.002
0.334 0.334 0.998
0.500 0.500 0.500
0.410 0.410 0.262
0.919 0.410 0.262
0.410 0.919 0.262
0.590 0.590 0.738
0.590 0.081 0.738
0.081 0.590 0.738
```

* crystal system: trigonal
* space group: R-3m, No. 166
* uncorrected energy: -67.84 eV per cell
* relative energy among the computed polymorphs: 52 meV/atom
* volume: 12.73 Å³ per atom